(1)
BaTe4O9: relaxed, PBE-GGA.

POSCAR file:
```
BaTe4O9
1.0
10.157 -2.289 0.000
10.157 2.289 0.000
-8.648 0.000 21.664
Ba Te O
4 16 36
direct
0.015 0.405 0.158
0.405 0.015 0.658
0.595 0.985 0.342
0.985 0.595 0.842
0.038 0.729 0.716
0.176 0.215 0.453
0.215 0.176 0.953
0.271 0.962 0.784
0.288 0.547 0.490
0.294 0.617 0.344
0.383 0.706 0.156
0.453 0.712 0.010
0.547 0.288 0.990
0.617 0.294 0.844
0.706 0.383 0.656
0.712 0.453 0.510
0.729 0.038 0.216
0.785 0.824 0.047
0.824 0.785 0.547
0.962 0.271 0.284
0.011 0.581 0.724
0.046 0.429 0.551
0.093 0.246 0.863
0.143 0.668 0.251
0.146 0.592 0.969
0.161 0.584 0.360
0.164 0.604 0.564
0.200 0.677 0.816
0.246 0.093 0.363
0.323 0.800 0.684
0.332 0.857 0.249
0.396 0.836 0.936
0.408 0.854 0.531
0.416 0.839 0.140
0.419 0.989 0.776
0.429 0.046 0.051
0.493 0.497 0.443
0.497 0.493 0.943
0.503 0.507 0.057
0.507 0.503 0.557
0.571 0.954 0.949
0.581 0.011 0.224
0.584 0.161 0.860
0.592 0.146 0.469
0.604 0.164 0.064
0.668 0.143 0.751
0.677 0.200 0.316
0.754 0.907 0.637
0.800 0.323 0.184
0.836 0.396 0.436
0.839 0.416 0.640
0.854 0.408 0.031
0.857 0.332 0.749
0.907 0.754 0.137
0.954 0.571 0.449
0.989 0.419 0.276
```

Results
M_tot: 0.0 μB/f.u.
Crystal system: monoclinic
Formation energy from raw total energies: -19.23 eV per formula unit

***

(2)
Ba2TeO: relaxed, PBE-GGA.

POSCAR file:
```
Ba2TeO
1.0
5.120 0.000 0.000
0.000 5.120 0.000
0.000 0.000 10.167
Ba Te O
4 2 2
direct
0.250 0.250 0.167
0.250 0.750 0.500
0.750 0.250 0.500
0.750 0.750 0.833
0.250 0.250 0.801
0.750 0.750 0.199
0.250 0.250 0.412
0.750 0.750 0.588
```

Results
M_tot: 0.0 μB/f.u.
Crystal system: tetragonal
Formation energy from raw total energies: -8.63 eV per formula unit
E above lowest polymorph: 0 meV/atom

***

(3)
BaTeO3: relaxed, PBE-GGA.

POSCAR file:
```
BaTeO3
1.0
4.626 0.000 0.000
0.000 4.626 0.000
0.000 0.000 4.626
Ba Te O
1 1 3
direct
0.000 0.000 0.000
0.500 0.500 0.500
0.000 0.000 0.500
0.000 0.500 0.000
0.500 0.000 0.000
```

Results
M_tot: 0.5 μB/f.u.
Crystal system: cubic
Formation energy from raw total energies: 0.55 eV per formula unit

***

(4)
Ba2TeO5: relaxed, PBE-GGA.

POSCAR file:
```
Ba2TeO5
1.0
2.098 -6.568 0.000
2.098 6.568 0.000
0.000 0.000 11.467
Ba Te O
4 2 10
direct
0.138 0.862 0.579
0.138 0.862 0.921
0.862 0.138 0.079
0.862 0.138 0.421
0.156 0.844 0.250
0.844 0.156 0.750
0.054 0.946 0.131
0.054 0.946 0.369
0.260 0.740 0.127
0.260 0.740 0.373
0.316 0.684 0.750
0.684 0.316 0.250
0.740 0.260 0.627
0.740 0.260 0.873
0.946 0.054 0.631
0.946 0.054 0.869
```

Results
M_tot: 0.0 μB/f.u.
Crystal system: orthorhombic
Formation energy from raw total energies: -15.49 eV per formula unit
E above lowest polymorph: 78 meV/atom

***

(5)
BaTeO4: relaxed, PBE-GGA.

POSCAR file:
```
BaTeO4
1.0
3.887 0.000 0.000
0.000 3.887 0.000
0.000 0.000 6.199
Ba Te O
1 1 4
direct
0.000 0.000 0.000
0.500 0.500 0.500
0.000 0.500 0.500
0.500 0.000 0.500
0.500 0.500 0.194
0.500 0.500 0.806
```

Results
M_tot: 0.0 μB/f.u.
Crystal system: tetragonal
Formation energy from raw total energies: -9.53 eV per formula unit
E above lowest polymorph: 194 meV/atom

***

(6)
BaTe3O: relaxed, PBE-GGA.

POSCAR file:
```
BaTe3O
1.0
6.731 0.000 0.000
0.000 6.731 0.000
0.000 0.000 6.731
Ba Te O
1 3 1
direct
0.000 0.000 0.000
0.000 0.000 0.500
0.000 0.500 0.000
0.500 0.000 0.000
0.500 0.500 0.500
```

Results
M_tot: 6.0 μB/f.u.
Crystal system: cubic
Formation energy from raw total energies: 3.80 eV per formula unit
E above lowest polymorph: 1428 meV/atom

***

(7)
Ba2TeO: relaxed, PBE-GGA.

POSCAR file:
```
Ba2TeO
1.0
-3.915 3.915 4.523
3.915 -3.915 4.523
3.915 3.915 -4.523
Ba Te O
4 2 2
direct
0.033 0.625 0.908
0.375 0.283 0.408
0.717 0.125 0.092
0.875 0.967 0.592
0.250 0.750 0.500
0.500 0.500 0.000
0.000 0.000 0.000
0.750 0.250 0.500
```

Results
M_tot: 0.0 μB/f.u.
Crystal system: tetragonal
Formation energy from raw total energies: -8.23 eV per formula unit
E above lowest polymorph: 99 meV/atom

***

(8)
BaTe2O: relaxed, PBE-GGA.

POSCAR file:
```
BaTe2O
1.0
0.000 3.888 3.888
3.888 0.000 3.888
3.888 3.888 0.000
Ba Te O
1 2 1
direct
0.000 0.000 0.000
0.250 0.250 0.250
0.750 0.750 0.750
0.500 0.500 0.500
```

Results
M_tot: 0.0 μB/f.u.
Crystal system: cubic
Formation energy from raw total energies: 0.11 eV per formula unit
E above lowest polymorph: 839 meV/atom

***

(9)
Ba2TeO5: relaxed, PBE-GGA.

POSCAR file:
```
Ba2TeO5
1.0
5.622 -2.653 0.000
5.622 2.653 0.000
-3.683 0.000 5.718
Ba Te O
2 1 5
direct
0.221 0.221 0.242
0.779 0.779 0.758
0.026 0.974 0.500
0.202 0.203 0.628
0.380 0.620 0.500
0.797 0.798 0.372
0.874 0.058 0.209
0.942 0.126 0.791
```

Results
M_tot: 0.0 μB/f.u.
Crystal system: monoclinic
Formation energy from raw total energies: -16.11 eV per formula unit
E above lowest polymorph: 0 meV/atom

***

(10)
Ba2Te2O: relaxed, PBE-GGA.

POSCAR file:
```
Ba2Te2O
1.0
-2.190 2.190 8.798
2.190 -2.190 8.798
2.190 2.190 -8.798
Ba Te O
2 2 1
direct
0.097 0.097 0.000
0.903 0.903 0.000
0.250 0.750 0.500
0.750 0.250 0.500
0.500 0.500 0.000
```

Results
M_tot: 0.0 μB/f.u.
Crystal system: tetragonal
Formation energy from raw total energies: -4.76 eV per formula unit
E above lowest polymorph: 391 meV/atom

***

(11)
Ba3TeO2: relaxed, PBE-GGA.

POSCAR file:
```
Ba3TeO2
1.0
5.200 -6.120 0.000
5.200 6.120 0.000
0.000 0.000 6.390
Ba Te O
6 2 4
direct
0.097 0.903 0.750
0.176 0.388 0.750
0.388 0.176 0.250
0.612 0.824 0.750
0.824 0.612 0.250
0.903 0.097 0.250
0.320 0.680 0.250
0.680 0.320 0.750
0.159 0.159 0.000
0.159 0.159 0.500
0.841 0.841 0.000
0.841 0.841 0.500
```

Results
M_tot: 0.0 μB/f.u.
Crystal system: orthorhombic
Formation energy from raw total energies: -13.05 eV per formula unit

***

(12)
BaTe2O: relaxed, PBE-GGA.

POSCAR file:
```
BaTe2O
1.0
-3.794 3.794 4.300
3.794 -3.794 4.300
3.794 3.794 -4.300
Ba Te O
2 4 2
direct
0.000 0.000 0.000
0.750 0.250 0.500
0.289 0.625 0.164
0.375 0.539 0.664
0.461 0.125 0.836
0.875 0.711 0.336
0.250 0.750 0.500
0.500 0.500 0.000
```

Results
M_tot: 0.0 μB/f.u.
Crystal system: tetragonal
Formation energy from raw total energies: -3.24 eV per formula unit
E above lowest polymorph: 0 meV/atom

***

Which of these has the highest formation energy from raw total energies?
BaTe3O